Record 1
{
  "formula": "SrZrTa2Si",
  "functional": "GGA-PBE",
  "state": "optimized geometry",
  "sg": "No. 123",
  "vol_a3_per_fu": 122,
  "magmom_total_mub_per_atom": 0.00,
  "e_form_raw_ev_per_atom": 2.393,
  "total_energy_ev_per_atom": -5.48,
  "cell": [[4.888, 0.000, 0.000], [0.000, 5.089, 0.000], [0.000, 0.000, 4.888]],
  "species": ["Ta", "Zr", "Si", "Sr", "Ta"],
  "frac_coords": [[0.000, 0.000, 0.500], [0.500, 0.500, 0.500], [0.000, 0.500, 0.000], [0.000, 0.000, 0.000], [0.500, 0.000, 0.000]]
}

---

Record 2
{
  "formula": "Ca2AlRe",
  "functional": "GGA-PBE",
  "state": "optimized geometry",
  "sg": "No. 6",
  "vol_a3_per_fu": 91,
  "magmom_total_mub_per_atom": 0.00,
  "total_energy_ev_per_atom": -4.67,
  "delta_e_f_ev_per_atom": 0.374,
  "cell": [[-0.205, -4.112, -2.199], [2.154, 0.968, -2.011], [5.593, -1.766, 2.781]],
  "species": ["Re", "Ca", "Al", "Ca"],
  "frac_coords": [[0.000, 0.673, 0.525], [0.500, 0.283, 0.304], [0.500, 0.578, 0.723], [0.000, 0.966, 0.948]]
}